Record 1
Here is an optimized crystal structure of HfNb4Pb2 from the Alexandria database. Energies are from GGA-PBE.

```
data_HfNb4Pb2
_cell_length_a 4.829
_cell_length_b 4.829
_cell_length_c 15.007
_cell_angle_alpha 90.00
_cell_angle_beta 90.00
_cell_angle_gamma 90.00
_symmetry_space_group_name_H-M 'I 4/m m m'
_symmetry_Int_Tables_number 139
_symmetry_space_group_name_Hall '-I 4 2'
loop_
_atom_site_label
_atom_site_fract_x
_atom_site_fract_y
_atom_site_fract_z
_atom_site_occupancy
Hf1 0.000 0.000 0.000 1
Nb1 0.000 0.000 0.173 1
Nb2 0.000 0.500 0.000 1
Pb1 0.000 0.000 0.363 1
```

- formation energy from the elements (eV/f.u.) = 8.878
- calculated volume (A^3/atom) = 25.000
- magnetic moment (μB/f.u.) = 1.2

Record 2
Here is an optimized crystal structure of SmTh2PtRh5 from the Alexandria database. Energies are from GGA-PBE.

```
data_SmTh2PtRh5
_cell_length_a 8.431
_cell_length_b 8.431
_cell_length_c 10.776
_cell_angle_alpha 90.00
_cell_angle_beta 90.00
_cell_angle_gamma 90.00
_symmetry_space_group_name_H-M 'I 4/m c m'
_symmetry_Int_Tables_number 140
_symmetry_space_group_name_Hall '-I 4 2c'
loop_
_atom_site_label
_atom_site_fract_x
_atom_site_fract_y
_atom_site_fract_z
_atom_site_occupancy
Sm1 0.000 0.000 0.250 1
Th1 0.139 0.361 0.000 1
Pt1 0.000 0.500 0.250 1
Rh1 0.000 0.000 0.000 1
Rh2 0.187 0.313 0.366 1
```

- formation energy from the elements (eV/f.u.) = -3.727
- calculated volume (A^3/atom) = 21.279
- magnetic moment (μB/f.u.) = 0.0

Record 3
Here is an optimized crystal structure of MnNb2TcH from the Alexandria database. Energies are from GGA-PBE.

```
data_MnNb2TcH
_cell_length_a 4.398
_cell_length_b 4.398
_cell_length_c 3.314
_cell_angle_alpha 90.00
_cell_angle_beta 90.00
_cell_angle_gamma 90.00
_symmetry_space_group_name_H-M 'P 4/m m m'
_symmetry_Int_Tables_number 123
_symmetry_space_group_name_Hall '-P 4 2'
loop_
_atom_site_label
_atom_site_fract_x
_atom_site_fract_y
_atom_site_fract_z
_atom_site_occupancy
Mn1 0.000 0.000 0.000 1
Nb1 0.000 0.500 0.500 1
Tc1 0.500 0.500 0.000 1
H1 0.000 0.000 0.500 1
```

- calculated volume (A^3/atom) = 12.820
- E (eV per formula unit) = -43.7
- magnetic moment (μB/f.u.) = 0.3

Record 4
Here is an optimized crystal structure of Mo2AsPt from the Alexandria database. Energies are from GGA-PBE.

```
data_Mo2AsPt
_cell_length_a 3.203
_cell_length_b 4.487
_cell_length_c 8.738
_cell_angle_alpha 90.00
_cell_angle_beta 90.00
_cell_angle_gamma 90.00
_symmetry_space_group_name_H-M 'I m m m'
_symmetry_Int_Tables_number 71
_symmetry_space_group_name_Hall '-I 2 2'
loop_
_atom_site_label
_atom_site_fract_x
_atom_site_fract_y
_atom_site_fract_z
_atom_site_occupancy
Mo1 0.000 0.000 0.226 1
As1 0.000 0.500 0.500 1
Pt1 0.000 0.500 0.000 1
```

- formation energy from the elements (eV/f.u.) = -0.050
- calculated volume (A^3/atom) = 15.700
- magnetic moment (μB/f.u.) = 0.0